A | 4
Lattice="0.000 3.260 3.260 3.260 0.000 3.260 3.260 3.260 0.000" Properties=species:S:1:pos:R:3 comment="HfTiNbPt (PBE-GGA, optimized geometry)" crystal_system=cubic pbc="T T T"
Hf 0.000 0.000 0.000
Ti 3.260 3.260 3.260
Nb 4.890 4.890 4.890
Pt 1.630 1.630 1.630



B | 4
Lattice="3.296 0.000 0.000 0.000 3.296 0.000 0.000 0.000 6.548" Properties=species:S:1:pos:R:3 comment="HfTiNbPt (PBE-GGA, optimized geometry)" crystal_system=tetragonal pbc="T T T"
Hf 0.000 0.000 0.000
Ti 0.000 0.000 3.236
Nb 1.648 1.648 4.781
Pt 1.648 1.648 1.642



Going by the energies, B is most stable and the next is 39 meV/atom up.



A | 4
Lattice="3.751 0.000 0.000 0.000 3.751 0.000 0.000 0.000 6.359" Properties=species:S:1:pos:R:3 comment="Pu2HfNb (PBE-GGA, optimized geometry)" crystal_system=tetragonal pbc="T T T"
Pu 0.000 0.000 1.517
Pu 0.000 0.000 4.841
Hf 1.875 1.875 3.179
Nb 1.875 1.875 0.000



B | 4
Lattice="0.000 3.543 3.543 3.543 0.000 3.543 3.543 3.543 0.000" Properties=species:S:1:pos:R:3 comment="Pu2HfNb (PBE-GGA, optimized geometry)" crystal_system=cubic pbc="T T T"
Pu 1.771 1.771 1.771
Pu 5.314 5.314 5.314
Hf 0.000 0.000 0.000
Nb 3.543 3.543 3.543



Going by the energies, A is most stable and the next is 28 meV/atom up.



A | 4
Lattice="0.000 3.492 3.492 3.492 0.000 3.492 3.492 3.492 0.000" Properties=species:S:1:pos:R:3 comment="PuHf2Nb (PBE-GGA, optimized geometry)" crystal_system=cubic pbc="T T T"
Pu 0.000 0.000 0.000
Hf 1.746 1.746 1.746
Hf 5.238 5.238 5.238
Nb 3.492 3.492 3.492



B | 4
Lattice="1.573 0.908 10.213 -1.573 0.908 10.213 0.000 -1.816 10.213" Properties=species:S:1:pos:R:3 comment="PuHf2Nb (PBE-GGA, optimized geometry)" crystal_system=trigonal pbc="T T T"
Pu 0.000 0.000 0.000
Hf 0.000 0.000 7.523
Hf 0.000 0.000 23.116
Nb 0.000 0.000 15.319



Going by the energies, A is most stable and the next is 24 meV/atom up.



A | 4
Lattice="3.415 0.000 0.000 0.000 3.415 0.000 0.000 0.000 7.559" Properties=species:S:1:pos:R:3 comment="PuHf2Nb (PBE-GGA, optimized geometry)" crystal_system=tetragonal pbc="T T T"
Pu 0.000 0.000 0.000
Hf 1.708 1.708 2.144
Hf 1.708 1.708 5.415
Nb 0.000 0.000 3.779



B | 4
Lattice="1.580 0.912 10.229 -1.580 0.912 10.229 0.000 -1.825 10.229" Properties=species:S:1:pos:R:3 comment="PuHf2Nb (PBE-GGA, optimized geometry)" crystal_system=trigonal pbc="T T T"
Pu 0.000 0.000 0.000
Hf 0.000 0.000 17.739
Hf 0.000 0.000 23.176
Nb 0.000 0.000 5.114



Going by the energies, A is most stable and the next is 69 meV/atom up.



A | 4
Lattice="0.000 3.436 3.436 3.436 0.000 3.436 3.436 3.436 0.000" Properties=species:S:1:pos:R:3 comment="PuHfNb2 (PBE-GGA, optimized geometry)" crystal_system=cubic pbc="T T T"
Pu 0.000 0.000 0.000
Hf 3.436 3.436 3.436
Nb 1.718 1.718 1.718
Nb 5.155 5.155 5.155



B | 4
Lattice="4.890 0.000 0.000 0.000 4.890 0.000 0.000 0.000 3.393" Properties=species:S:1:pos:R:3 comment="PuHfNb2 (PBE-GGA, optimized geometry)" crystal_system=tetragonal pbc="T T T"
Pu 0.000 0.000 0.000
Hf 2.445 2.445 0.000
Nb 0.000 2.445 1.696
Nb 2.445 0.000 1.696



Going by the energies, A is most stable and the next is 23 meV/atom up.



A | 8
Lattice="-3.882 3.882 6.038 3.882 -3.882 6.038 3.882 3.882 -6.038" Properties=species:S:1:pos:R:3 comment="RbHf2Nb (PBE-GGA, optimized geometry)" crystal_system=tetragonal pbc="T T T"
Rb 3.882 1.941 1.510
Rb 0.000 1.941 4.529
Hf 0.000 0.000 0.000
Hf 1.941 1.941 -3.019
Hf 1.941 -1.941 3.019
Hf 0.000 3.882 0.000
Nb 3.882 -1.941 4.529
Nb 0.000 5.822 1.510



B | 4
Lattice="0.000 3.617 3.617 3.617 0.000 3.617 3.617 3.617 0.000" Properties=species:S:1:pos:R:3 comment="RbHf2Nb (PBE-GGA, optimized geometry)" crystal_system=cubic pbc="T T T"
Rb 0.000 0.000 0.000
Hf 1.809 1.809 1.809
Hf 5.426 5.426 5.426
Nb 3.617 3.617 3.617



Going by the energies, B is most stable and the next is 305 meV/atom up.



A | 5
Lattice="5.300 0.000 0.000 0.000 5.300 0.000 0.000 0.000 5.300" Properties=species:S:1:pos:R:3 comment="RbHf3Nb (PBE-GGA, optimized geometry)" crystal_system=cubic pbc="T T T"
Rb 0.000 0.000 0.000
Hf 0.000 2.650 2.650
Hf 2.650 0.000 2.650
Hf 2.650 2.650 0.000
Nb 2.650 2.650 2.650



B | 5
Lattice="4.934 0.000 0.000 0.000 4.934 0.000 0.000 0.000 4.934" Properties=species:S:1:pos:R:3 comment="RbHf3Nb (PBE-GGA, optimized geometry)" crystal_system=cubic pbc="T T T"
Rb 0.000 0.000 0.000
Hf 0.000 0.000 2.467
Hf 0.000 2.467 0.000
Hf 2.467 0.000 0.000
Nb 2.467 2.467 2.467



Going by the energies, A is most stable and the next is 1253 meV/atom up.



A | 8
Lattice="-6.717 6.717 2.485 6.717 -6.717 2.485 6.717 6.717 -2.485" Properties=species:S:1:pos:R:3 comment="Rb2HfNb (PBE-GGA, optimized geometry)" crystal_system=tetragonal pbc="T T T"
Rb 1.313 3.359 0.621
Rb -3.359 5.404 1.864
Rb -1.313 10.076 0.621
Rb 3.359 8.030 1.864
Hf 6.717 0.000 1.243
Hf 0.000 0.000 2.485
Nb 0.000 0.000 0.000
Nb 0.000 6.717 1.243



B | 4
Lattice="0.000 4.156 4.156 4.156 0.000 4.156 4.156 4.156 0.000" Properties=species:S:1:pos:R:3 comment="Rb2HfNb (PBE-GGA, optimized geometry)" crystal_system=cubic pbc="T T T"
Rb 2.078 2.078 2.078
Rb 6.234 6.234 6.234
Hf 0.000 0.000 0.000
Nb 4.156 4.156 4.156



Going by the energies, A is most stable and the next is 549 meV/atom up.



A | 4
Lattice="3.223 0.000 0.000 0.000 3.223 0.000 0.000 0.000 6.460" Properties=species:S:1:pos:R:3 comment="HfNbReRu (PBE-GGA, optimized geometry)" crystal_system=tetragonal pbc="T T T"
Hf 0.000 0.000 0.000
Nb 0.000 0.000 3.249
Re 1.612 1.612 4.777
Ru 1.612 1.612 1.626



B | 4
Lattice="0.000 3.223 3.223 3.223 0.000 3.223 3.223 3.223 0.000" Properties=species:S:1:pos:R:3 comment="HfNbReRu (PBE-GGA, optimized geometry)" crystal_system=cubic pbc="T T T"
Hf 0.000 0.000 0.000
Nb 3.223 3.223 3.223
Re 4.835 4.835 4.835
Ru 1.612 1.612 1.612



Going by the energies, A is most stable and the next is 16 meV/atom up.



A | 10
Lattice="6.708 0.000 0.000 0.000 6.708 0.000 0.000 0.000 4.441" Properties=species:S:1:pos:R:3 comment="Hf2Nb2Rh (PBE-GGA, optimized geometry)" crystal_system=tetragonal pbc="T T T"
Hf 1.116 2.238 0.000
Hf 2.238 5.592 0.000
Hf 4.470 1.116 0.000
Hf 5.592 4.470 0.000
Nb 0.959 4.313 2.221
Nb 2.395 0.959 2.221
Nb 4.313 5.749 2.221
Nb 5.749 2.395 2.221
Rh 0.000 0.000 2.221
Rh 3.354 3.354 2.221



B | 5
Lattice="-1.975 1.975 6.650 1.975 -1.975 6.650 1.975 1.975 -6.650" Properties=species:S:1:pos:R:3 comment="Hf2Nb2Rh (PBE-GGA, optimized geometry)" crystal_system=tetragonal pbc="T T T"
Hf 1.975 0.000 3.325
Hf 0.000 1.975 3.325
Nb 0.000 0.000 1.179
Nb 0.000 0.000 12.122
Rh 0.000 0.000 6.650



C | 5
Lattice="-1.665 1.665 8.354 1.665 -1.665 8.354 1.665 1.665 -8.354" Properties=species:S:1:pos:R:3 comment="Hf2Nb2Rh (PBE-GGA, optimized geometry)" crystal_system=tetragonal pbc="T T T"
Hf 0.000 0.000 1.614
Hf 0.000 0.000 15.093
Nb 0.000 0.000 4.943
Nb 0.000 0.000 11.765
Rh 0.000 0.000 8.354



Going by the energies, C is most stable and the next is 456 meV/atom up.



A | 10
Lattice="7.530 0.000 0.000 0.000 7.530 0.000 0.000 0.000 3.109" Properties=species:S:1:pos:R:3 comment="HfNb2Rh2 (PBE-GGA, optimized geometry)" crystal_system=tetragonal pbc="T T T"
Hf 0.000 0.000 0.000
Hf 3.765 3.765 0.000
Nb 1.301 2.464 1.555
Nb 2.464 6.229 1.555
Nb 5.066 1.301 1.555
Nb 6.229 5.066 1.555
Rh 0.968 4.733 0.000
Rh 2.797 0.968 0.000
Rh 4.733 6.562 0.000
Rh 6.562 2.797 0.000



B | 10
Lattice="7.837 0.000 0.000 0.000 7.837 0.000 0.000 0.000 2.871" Properties=species:S:1:pos:R:3 comment="HfNb2Rh2 (PBE-GGA, optimized geometry)" crystal_system=tetragonal pbc="T T T"
Hf 0.000 0.000 0.000
Hf 3.919 3.919 0.000
Nb 1.173 2.746 0.000
Nb 2.746 6.665 0.000
Nb 5.092 1.173 0.000
Nb 6.665 5.092 0.000
Rh 1.154 5.072 1.435
Rh 2.765 1.154 1.435
Rh 5.072 6.684 1.435
Rh 6.684 2.765 1.435



Going by the energies, A is most stable and the next is 101 meV/atom up.



A | 4
Lattice="0.000 3.270 3.270 3.270 0.000 3.270 3.270 3.270 0.000" Properties=species:S:1:pos:R:3 comment="HfNb2Ru (PBE-GGA, optimized geometry)" crystal_system=cubic pbc="T T T"
Hf 0.000 0.000 0.000
Nb 1.635 1.635 1.635
Nb 4.905 4.905 4.905
Ru 3.270 3.270 3.270



B | 8
Lattice="-3.773 3.773 2.724 3.773 -3.773 2.724 3.773 3.773 -2.724" Properties=species:S:1:pos:R:3 comment="HfNb2Ru (PBE-GGA, optimized geometry)" crystal_system=tetragonal pbc="T T T"
Hf 0.000 0.000 0.000
Hf 0.000 3.773 1.362
Nb 1.887 -1.590 2.043
Nb 2.183 1.887 0.681
Nb 1.887 5.363 -0.681
Nb 1.590 1.887 3.405
Ru 3.773 0.000 1.362
Ru 0.000 0.000 2.724



Going by the energies, A is most stable and the next is 345 meV/atom up.